(1)
Compound: CaY2
Source: Alexandria
Functional: GGA-PBE
Structure: relaxed

Lattice parameters (Å, degrees): 9.5900 9.5900 9.5900 90.00 90.00 90.00
With the nearest neighbours (Å) after each atom.
Space group Fd-3m (No. 227, origin choice 2)
Symmetry-distinct sites (fractional):
Ca (0.1250, 0.1250, 0.1250) (multiplicity 8)  12 Y 3.98, 4 Ca 4.15
Y (0.0000, 0.0000, 0.5000) (multiplicity 16)  6 Y 3.39

* density of states at the Fermi level: 41.12 states/eV per cell
* energy relative to the elements: 54 kJ/mol of formula units


(2)
Compound: SmScPb2
Source: Alexandria
Functional: GGA-PBE
Structure: relaxed

Lattice parameters (Å, degrees): 8.8321 4.8732 10.6356 90.00 90.00 90.00
With the nearest neighbours (Å) after each atom.
Space group Pnma (No. 62)
Symmetry-distinct sites (fractional):
Sm (0.1062, 0.2500, 0.2000) (multiplicity 4)  8 Pb 3.31-3.46, 1 Sc 3.54
Sc (0.1101, 0.7500, 0.4645) (multiplicity 4)  4 Pb 2.96-3.30, 2 Sc 3.21
Pb (0.1363, 0.2500, 0.7368) (multiplicity 4)  2 Sc 3.05-3.30, 1 Pb 3.06, 4 Sm 3.31-3.36
Pb (0.2004, 0.7500, 0.9826) (multiplicity 4)  2 Sc 2.96, 1 Pb 3.06

* density of states at the Fermi level: 4.95 states/eV per cell
* energy relative to the elements: -134 kJ/mol of formula units


(3)
Compound: ZnSnSb
Source: Alexandria
Functional: GGA-PBE
Structure: relaxed

Lattice parameters (Å, degrees): 6.8278 6.8278 6.8278 90.00 90.00 90.00
With the nearest neighbours (Å) after each atom.
Space group F-43m (No. 216)
Symmetry-distinct sites (fractional):
Zn (0.0000, 0.0000, 0.0000) (multiplicity 4)  4 Sn 2.96, 4 Sb 2.96
Sn (0.2500, 0.2500, 0.2500) (multiplicity 4)  4 Zn 2.96
Sb (0.2500, 0.2500, 0.7500) (multiplicity 4)  4 Zn 2.96

* density of states at the Fermi level: 6.58 states/eV per cell
* formation energy without anion corrections: 0.1271 eV per atom


(4)
Compound: Ce3BiRh
Source: Alexandria
Functional: GGA-PBE
Structure: relaxed

Lattice parameters (Å, degrees): 8.0957 4.4071 8.7251 90.00 116.38 90.00
With the nearest neighbours (Å) after each atom.
Space group P2_1/m (No. 11)
Symmetry-distinct sites (fractional):
Ce (0.0193, 0.2500, 0.2288) (multiplicity 2)  3 Rh 2.97-3.14, 2 Bi 3.32
Ce (0.3303, 0.7500, 0.5901) (multiplicity 2)  3 Rh 2.95-3.13
Ce (0.3657, 0.2500, 0.9339) (multiplicity 2)  1 Rh 2.65, 2 Ce 2.95
Bi (0.3109, 0.7500, 0.1991) (multiplicity 2)  9 Ce 3.30-3.50
Rh (0.1006, 0.2500, 0.6153) (multiplicity 2)  5 Ce 2.65-2.97, 2 Rh 2.94

* density of states at the Fermi level: 32.66 states/eV per cell
* energy relative to the elements: -278 kJ/mol of formula units


(5)
Compound: Li2HfZnNi
Source: Alexandria
Functional: GGA-PBE
Structure: relaxed

Lattice parameters (Å, degrees): 4.4479 4.4479 4.7381 90.00 90.00 90.00
With the nearest neighbours (Å) after each atom.
Space group P4/mmm (No. 123)
Symmetry-distinct sites (fractional):
Li (0.0000, 0.5000, 0.0000) (multiplicity 2)  2 Ni 2.22
Hf (0.0000, 0.0000, 0.5000) (multiplicity 1)  2 Ni 2.37
Zn (0.5000, 0.5000, 0.5000) (multiplicity 1)  4 Hf 3.15, 8 Li 3.25
Ni (0.0000, 0.0000, 0.0000) (multiplicity 1)  4 Li 2.22, 2 Hf 2.37

* density of states at the Fermi level: 3.20 states/eV per cell
* energy relative to the elements: 162 kJ/mol of formula units


(6)
Compound: K2TlTc
Source: Alexandria
Functional: GGA-PBE
Structure: relaxed

Lattice parameters (Å, degrees): 4.3769 4.3769 5.8181 90.00 90.00 90.00
With the nearest neighbours (Å) after each atom.
Space group P4/mmm (No. 123)
Symmetry-distinct sites (fractional):
K (0.0000, 0.5000, 0.0000) (multiplicity 2)  4 K 3.09
Tl (0.0000, 0.0000, 0.5000) (multiplicity 1)  4 Tc 3.09
Tc (0.5000, 0.5000, 0.5000) (multiplicity 1)  4 Tl 3.09

* density of states at the Fermi level: 0.82 states/eV per cell
* energy relative to the elements: 365 kJ/mol of formula units